VASP calculation (PBE+U) on BaTbInWO6 after structural relaxation.

As for the total energy: -282.708 eV/cell. The magnetization comes out at 0.00 μB per cell. The crystal system is cubic. The value obtained for the density of states at the Fermi level is 0.0 states/eV/f.u.

The space group is F-43m (No. 216) and the conventional cell measures 8.497, 8.497 and 8.497 Å, with angles of 90.00, 90.00 and 90.00 degrees. Symmetry generates all atoms from Ba at (0.000, 0.000, 0.000), Tb at (0.250, 0.250, 0.250), In at (0.000, 0.000, 0.500), W at (0.250, 0.250, 0.750) and O at (0.019, 0.250, 0.750).